Entry 1:
# LaTiS2Cl PBEsol optimized geometry
data_LaTiS2Cl
_symmetry_space_group_name_H-M 'P 4/m m m'
_symmetry_Int_Tables_number 123
_symmetry_space_group_name_Hall '-P 4 2'
_cell_length_a 4.705
_cell_length_b 4.705
_cell_length_c 4.566
_cell_angle_alpha 90.00
_cell_angle_beta 90.00
_cell_angle_gamma 90.00
loop_
_atom_site_label
_atom_site_fract_x
_atom_site_fract_y
_atom_site_fract_z
La1 0.000 0.000 0.000
Ti1 0.500 0.500 0.500
S1 0.000 0.500 0.500
Cl1 0.500 0.500 0.000
# * final energy: -32.27 eV/cell
# * E_form (uncorrected): -1.566 eV/atom
# * total moment: 0.00 μB/atom

=====

Entry 2:
# Ca2LaAl PBEsol optimized geometry
data_Ca2LaAl
_symmetry_space_group_name_H-M 'P m m m'
_symmetry_Int_Tables_number 47
_symmetry_space_group_name_Hall '-P 2 2'
_cell_length_a 3.510
_cell_length_b 5.011
_cell_length_c 6.862
_cell_angle_alpha 90.00
_cell_angle_beta 90.00
_cell_angle_gamma 90.00
loop_
_atom_site_label
_atom_site_fract_x
_atom_site_fract_y
_atom_site_fract_z
Ca1 0.000 0.000 0.227
La1 0.500 0.500 0.500
Al1 0.500 0.500 0.000
# * final energy: -13.63 eV/cell
# * total moment: 0.00 μB/atom
# * DFT formation energy: 0.018 eV per atom

=====

Entry 3:
# K2NiSe PBEsol optimized geometry
data_K2NiSe
_symmetry_space_group_name_H-M 'P 4 m m'
_symmetry_Int_Tables_number 99
_symmetry_space_group_name_Hall 'P 4 -2'
_cell_length_a 3.482
_cell_length_b 3.482
_cell_length_c 9.565
_cell_angle_alpha 90.00
_cell_angle_beta 90.00
_cell_angle_gamma 90.00
loop_
_atom_site_label
_atom_site_fract_x
_atom_site_fract_y
_atom_site_fract_z
K1 0.000 0.000 0.000
K2 0.500 0.500 0.421
Ni1 0.000 0.000 0.699
Se1 0.500 0.500 0.741
# * final energy: -12.71 eV/cell
# * E_form (uncorrected): -0.109 eV/atom
# * total moment: 0.00 μB/atom

=====

Entry 4:
# SrIn3 PBEsol optimized geometry
data_SrIn3
_symmetry_space_group_name_H-M 'P m m n'
_symmetry_Int_Tables_number 59
_cell_length_a 4.950
_cell_length_b 6.581
_cell_length_c 6.827
_cell_angle_alpha 90.00
_cell_angle_beta 90.00
_cell_angle_gamma 90.00
loop_
_symmetry_equiv_pos_as_xyz
'x,y,z'
'-x,-y,-z'
'-x+1/2,-y+1/2,z'
'x+1/2,y+1/2,-z'
'x+1/2,-y,-z'
'-x+1/2,y,z'
'-x,y+1/2,-z'
'x,-y+1/2,z'
loop_
_atom_site_label
_atom_site_fract_x
_atom_site_fract_y
_atom_site_fract_z
Sr1 0.250 0.250 0.104
In1 0.250 0.508 0.640
In2 0.250 0.750 0.244
# * final energy: -24.45 eV/cell
# * total moment: 0.00 μB/atom
# * DFT formation energy: -0.360 eV per atom

=====

Entry 5:
# BaSrHg2 PBEsol optimized geometry
data_BaSrHg2
_symmetry_space_group_name_H-M 'A m m 2'
_symmetry_Int_Tables_number 38
_symmetry_space_group_name_Hall 'A 2 -2'
_cell_length_a 5.242
_cell_length_b 4.253
_cell_length_c 12.191
_cell_angle_alpha 90.00
_cell_angle_beta 90.00
_cell_angle_gamma 90.00
loop_
_atom_site_label
_atom_site_fract_x
_atom_site_fract_y
_atom_site_fract_z
Ba1 0.000 0.000 0.000
Sr1 0.500 0.000 0.722
Hg1 0.000 0.000 0.280
Hg2 0.500 0.000 0.436
# * final energy: -14.45 eV/cell
# * total moment: 0.00 μB/atom
# * DFT formation energy: -0.525 eV per atom

=====

Entry 6:
# Cr8Fe3CuS16 PBEsol optimized geometry
data_Cr8Fe3CuS16
_symmetry_space_group_name_H-M 'P -4 m 2'
_symmetry_Int_Tables_number 115
_symmetry_space_group_name_Hall 'P -4 -2'
_cell_length_a 6.849
_cell_length_b 6.849
_cell_length_c 9.684
_cell_angle_alpha 90.00
_cell_angle_beta 90.00
_cell_angle_gamma 90.00
loop_
_atom_site_label
_atom_site_fract_x
_atom_site_fract_y
_atom_site_fract_z
Cr1 0.000 0.251 0.125
Cr2 0.247 0.500 0.373
Fe1 0.000 0.500 0.749
Fe2 0.500 0.500 0.000
Cu1 0.000 0.000 0.500
S1 0.000 0.238 0.881
S2 0.000 0.265 0.366
S3 0.239 0.500 0.129
S4 0.263 0.500 0.618
# * final energy: -199.03 eV/cell
# * E_form (uncorrected): -0.561 eV/atom
# * total moment: 1.07 μB/atom

=====

| no. | ρ (g cm⁻³) |
| --- | --- |
| 1 | 4.7 |
| 2 | 3.4 |
| 3 | 3.1 |
| 4 | 6.5 |
| 5 | 7.7 |
| 6 | 4.2 |